GGA-PBE KLiBr, relaxed; space group = F-43m, No. 216; ΔE to the lowest computed polymorph = 448 meV per atom; formation energy (no corrections) = -1.579 eV per formula unit; calculated total energy = -2.09 eV per atom; calculated volume = 40.91 Å³/atom
1.0
5.578 0.000 0.000
2.789 4.831 0.000
2.789 1.610 4.555
Li Br K
1 1 1
direct
0.000 0.000 0.000
0.500 0.500 0.500
0.750 0.750 0.750

GGA-PBE K3Li5Br12, relaxed; space group = Ia-3d, No. 230; formation energy (no corrections) = -22.197 eV per formula unit; calculated total energy = -2.76 eV per atom; calculated volume = 30.97 Å³/atom
1.0
14.764 0.000 0.000
-4.921 13.919 0.000
-4.921 -6.960 12.055
Br Li K
48 20 12
direct
0.076 0.187 0.481
0.595 0.576 0.889
0.424 0.019 0.313
0.794 0.313 0.889
0.611 0.706 0.687
0.294 0.389 0.813
0.576 0.595 0.389
0.889 0.076 0.595
0.576 0.981 0.687
0.187 0.076 0.981
0.405 0.424 0.111
0.076 0.889 0.095
0.405 0.981 0.794
0.095 0.389 0.076
0.313 0.794 0.389
0.424 0.405 0.611
0.905 0.611 0.924
0.905 0.294 0.481
0.706 0.095 0.019
0.519 0.313 0.924
0.481 0.687 0.076
0.019 0.424 0.813
0.794 0.481 0.405
0.813 0.889 0.294
0.111 0.924 0.405
0.519 0.206 0.095
0.206 0.687 0.111
0.389 0.294 0.313
0.389 0.095 0.576
0.924 0.813 0.519
0.187 0.111 0.706
0.706 0.611 0.187
0.687 0.481 0.576
0.019 0.595 0.706
0.111 0.187 0.206
0.611 0.905 0.424
0.313 0.519 0.424
0.095 0.706 0.519
0.924 0.111 0.905
0.595 0.019 0.206
0.206 0.519 0.595
0.813 0.924 0.019
0.981 0.576 0.187
0.889 0.813 0.794
0.294 0.905 0.981
0.687 0.206 0.611
0.981 0.405 0.294
0.481 0.794 0.905
0.625 0.750 0.875
0.875 0.250 0.625
0.375 0.250 0.125
0.500 0.500 0.000
0.250 0.375 0.625
0.250 0.875 0.125
0.875 0.625 0.750
0.625 0.875 0.250
0.000 0.000 0.500
0.125 0.750 0.375
0.500 0.500 0.500
0.000 0.000 0.000
0.750 0.125 0.875
0.375 0.125 0.750
0.125 0.375 0.250
0.500 0.000 0.000
0.500 0.000 0.500
0.000 0.500 0.000
0.000 0.500 0.500
0.750 0.625 0.375
0.750 0.875 0.625
0.125 0.250 0.875
0.250 0.125 0.375
0.125 0.875 0.750
0.375 0.625 0.250
0.375 0.750 0.625
0.625 0.375 0.750
0.875 0.125 0.250
0.250 0.625 0.875
0.750 0.375 0.125
0.625 0.250 0.375
0.875 0.750 0.125